Crystalline DyAgWO5 at its relaxed geometry, computed with PBE+U.

Lattice parameters (Å, degrees): 6.311 6.311 8.499 109.45 109.45 92.86
Positions (direct):
Dy 0.000 0.000 0.000
Dy 0.000 0.000 0.500
Ag 0.295 0.705 0.750
Ag 0.705 0.295 0.250
W 0.362 0.638 0.250
W 0.638 0.362 0.750
O 0.062 0.938 0.750
O 0.240 0.749 0.420
O 0.251 0.760 0.080
O 0.284 0.327 0.148
O 0.327 0.284 0.648
O 0.673 0.716 0.352
O 0.716 0.673 0.852
O 0.749 0.240 0.920
O 0.760 0.251 0.580
O 0.938 0.062 0.250

Properties
magnetization	0.000	μB per atom
VASP energy	-111.74	eV for the cell shown